[1]
# Li2Cr2Ge

An optimized crystal structure of Li2Cr2Ge (PBE-GGA, Alexandria).

Cell: 3.1975 3.1975 14.5073 Å, 90.00 90.00 90.00°
Last column: nearest neighbours and their distance in Å.
Space group I4/mmm (No. 139)
Unique sites:
Li1 0.0000 0.0000 0.0959  4 Ge 2.65, 4 Cr 2.75, 1 Li 2.78
Cr1 0.0000 0.5000 0.2500  4 Cr 2.26
Ge1 0.0000 0.0000 0.5000  8 Li 2.65

Calculated values
**VASP energy**: -5.0114 eV per atom
**V**: 148 Å³ per cell
**Energy relative to the lowest polymorph listed for this composition**: 0.0 meV/atom
**Magnetization**: 0.000 μB/f.u.
**DOS at the Fermi energy**: 10.48 states/eV/cell
**Energy of formation**: 0.527 eV/atom

***

[2]
# RbAcAs2

An optimized crystal structure of RbAcAs2 (PBE-GGA, Alexandria).

Cell: 4.2506 4.2506 7.5007 Å, 90.00 90.00 90.00°
Last column: nearest neighbours and their distance in Å.
Space group P4/mmm (No. 123)
Unique sites:
Rb1 0.0000 0.0000 0.0000  2 Ac 3.75, 8 As 3.88
Ac1 0.0000 0.0000 0.5000  8 As 3.27
As1 0.5000 0.5000 0.3280  1 As 2.58

Calculated values
**VASP energy**: -4.4122 eV per atom
**V**: 136 Å³ per cell
**Energy relative to the lowest polymorph listed for this composition**: 0.0 meV/atom
**Magnetization**: 0.000 μB/f.u.
**DOS at the Fermi energy**: 0.75 states/eV/cell
**Energy of formation**: -0.818 eV/atom

***

[3]
# CsHgI3

An optimized crystal structure of CsHgI3 (PBE-GGA, Alexandria).

Cell: 8.3663 8.5724 14.1308 Å, 90.00 96.70 90.00°
Last column: nearest neighbours and their distance in Å.
Space group P2_1/c (No. 14)
Unique sites:
Cs1 0.1492 0.1944 0.1438  6 I 3.98-4.40
Hg1 0.4393 0.6887 0.0737  4 I 2.78-3.02
I1 0.1196 0.7184 0.1068  1 Hg 2.78
I2 0.3155 0.0918 0.8887  1 Hg 2.79
I3 0.4203 0.6126 0.8637  2 Hg 2.93-3.02

Calculated values
**VASP energy**: -1.9749 eV per atom
**V**: 1007 Å³ per cell
**Magnetization**: 0.000 μB/f.u.
**DOS at the Fermi energy**: 0.00 states/eV/cell
**Uncorrected formation energy**: -0.81 eV/atom

***

[4]
# Pm2In9Pt3

An optimized crystal structure of Pm2In9Pt3 (PBE-GGA, Alexandria).

Cell: 14.4362 8.3400 11.5194 Å, 90.00 114.73 90.00°
Last column: nearest neighbours and their distance in Å.
Space group C2/c (No. 15)
Unique sites:
Pm1 0.1682 0.0835 0.2516  11 In 3.28-3.42
In1 0.0000 0.3658 0.2500  2 Pt 2.79, 2 In 3.09
In2 0.0584 0.0744 0.9244  3 Pt 2.82-2.93, 4 In 3.10-3.14
In3 0.1087 0.3090 0.7491  2 Pt 2.78-2.80, 3 In 3.09-3.11
In4 0.1093 0.4121 0.0665  3 Pt 2.80-2.90
In5 0.2289 0.4126 0.4236  3 Pt 2.83-2.93, 4 In 3.09-3.15
Pt1 0.0831 0.2503 0.4999  8 In 2.78-2.93
Pt2 0.2500 0.2500 0.0000  8 In 2.80-2.93

Calculated values
**VASP energy**: -4.2125 eV per atom
**V**: 1260 Å³ per cell
**Magnetization**: 0.000 μB/f.u.
**DOS at the Fermi energy**: 27.07 states/eV/cell
**Energy of formation**: -0.479 eV/atom

***

[5]
# Be2TcIr

An optimized crystal structure of Be2TcIr (PBE-GGA, Alexandria).

Cell: 8.5966 2.7322 4.0870 Å, 90.00 108.57 90.00°
Last column: nearest neighbours and their distance in Å.
Space group Cm (No. 8)
Unique sites:
Be1 0.0000 0.0000 0.0000  2 Be 2.34, 4 Tc 2.44-2.49, 3 Ir 2.46-2.47
Be2 0.2227 0.5000 0.2900  2 Be 2.34, 4 Ir 2.41-2.52, 3 Tc 2.44-2.51
Tc1 0.4805 0.0000 0.4802  7 Be 2.44-2.51, 2 Ir 2.67, 2 Tc 2.73
Ir1 0.2492 0.0000 0.8243  7 Be 2.41-2.52, 2 Tc 2.67

Calculated values
**VASP energy**: -6.9057 eV per atom
**V**: 91 Å³ per cell
**Energy relative to the lowest polymorph listed for this composition**: 105.8 meV/atom
**Magnetization**: 0.000 μB/f.u.
**DOS at the Fermi energy**: 2.97 states/eV/cell
**Energy of formation**: -0.236 eV/atom

***

[6]
# Pu2GaMo

An optimized crystal structure of Pu2GaMo (PBE-GGA, Alexandria).

Cell: 4.2617 4.2617 4.3528 Å, 90.00 90.00 90.00°
Last column: nearest neighbours and their distance in Å.
Space group P4/mmm (No. 123)
Unique sites:
Pu1 0.0000 0.5000 0.0000  4 Pu 3.01, 4 Mo 3.05, 4 Ga 3.05
Ga1 0.0000 0.0000 0.5000  4 Mo 3.01, 8 Pu 3.05
Mo1 0.5000 0.5000 0.5000  4 Ga 3.01, 8 Pu 3.05

Calculated values
**VASP energy**: -10.6213 eV per atom
**V**: 79 Å³ per cell
**Energy relative to the lowest polymorph listed for this composition**: 0.0 meV/atom
**Magnetization**: 8.754 μB/f.u.
**DOS at the Fermi energy**: 7.72 states/eV/cell
**Energy of formation**: 0.009 eV/atom